[1]
This record from the Alexandria database describes crystalline HfMn2CoH at its relaxed geometry. The functional is PBE-GGA.

Results
V (Å³/f.u.): 58

a b c (Å): 3.6932 3.6932 4.2630
angles (deg): 90.00 90.00 90.00
Element x y z (fractional)
1 Hf 0.0000 0.0000 0.0000
2 Mn 0.0000 0.5000 0.5000
3 Mn 0.5000 0.0000 0.5000
4 Co 0.5000 0.5000 0.0000
5 H 0.0000 0.0000 0.5000



[2]
This record from the Alexandria database describes crystalline Mn2FeRu at its relaxed geometry. The functional is PBE-GGA.

Results
E_form (kcal/mol of atoms): 3.8
V (Å³/f.u.): 47

a b c (Å): 8.4292 8.4292 8.4292
angles (deg): 17.54 17.54 17.54
Element x y z (fractional)
1 Mn 0.2473 0.2473 0.2473
2 Mn 0.7527 0.7527 0.7527
3 Fe 0.5000 0.5000 0.5000
4 Ru 0.0000 0.0000 0.0000



[3]
This record from the Alexandria database describes crystalline TlPdAu at its relaxed geometry. The functional is PBE-GGA.

Results
E_form (kcal/mol of atoms): -0.5
V (Å³/f.u.): 67

a b c (Å): 4.5547 4.5547 4.5547
angles (deg): 60.00 60.00 60.00
Element x y z (fractional)
1 Tl 0.0000 0.0000 0.0000
2 Pd 0.7500 0.7500 0.7500
3 Au 0.5000 0.5000 0.5000



Number 1: excess energy over the best structure of this formula in the dataset 0.000 eV/atom, total magnetization 5.5 Bohr magnetons per cell, calculated total energy -39.1 eV per cell. Number 2: excess energy over the best structure of this formula in the dataset 0.149 eV/atom, total magnetization 0.2 Bohr magnetons per cell, calculated total energy -35.4 eV per cell. Number 3: excess energy over the best structure of this formula in the dataset 0.089 eV/atom, total magnetization 0.0 Bohr magnetons per cell, calculated total energy -10.9 eV per cell.